CaCd3Pt | PBE | optimized geometry

Calculated values
DFT total energy: -2.36 eV per atom
Energy relative to the elements: -0.202 eV/atom
SG: No. 221
Magnetization: 0.00 μB/cell
Mass density: 6715 kg/m³
D(E_F): 2.72 states/eV/f.u.
Energy above the lowest structure with this stoichiometry: 209 meV/atom

abc: 5.2114 5.2114 5.2114
angles: 90.00 90.00 90.00
Atoms (fractional coordinates):
Ca1 0.0000 0.0000 0.0000
Cd1 0.0000 0.5000 0.5000
Cd2 0.5000 0.0000 0.5000
Cd3 0.5000 0.5000 0.0000
Pt1 0.5000 0.5000 0.5000